# 1
# MnFe2W, relaxed, DFT PBE
data_MnFe2W
_cell_length_a 4.4990
_cell_length_b 4.4990
_cell_length_c 4.4990
_cell_angle_alpha 132.24
_cell_angle_beta 132.24
_cell_angle_gamma 69.85
_space_group_name_H-M_alt 'P 1'
_space_group_IT_number 1
loop_
_space_group_symop_operation_xyz
'x,y,z'
loop_
_atom_site_label
_atom_site_type_symbol
_atom_site_fract_x
_atom_site_fract_y
_atom_site_fract_z
Fe1 Fe 0.7500 0.2500 0.5000
Fe2 Fe 0.0000 0.0000 0.0000
Mn1 Mn 0.5000 0.5000 0.0000
W1 W 0.2500 0.7500 0.5000
# E_form ... 121 meV per atom
# SG ... No. 119
# Final energy ... -0.7086 Ry per atom
# DOS(E_F) ... 1.059 states/eV per atom

# 2
# ScTlOs2, relaxed, DFT PBE
data_ScTlOs2
_cell_length_a 3.2457
_cell_length_b 4.8571
_cell_length_c 4.4175
_cell_angle_alpha 90.00
_cell_angle_beta 90.00
_cell_angle_gamma 90.00
_space_group_name_H-M_alt 'P 1'
_space_group_IT_number 1
loop_
_space_group_symop_operation_xyz
'x,y,z'
loop_
_atom_site_label
_atom_site_type_symbol
_atom_site_fract_x
_atom_site_fract_y
_atom_site_fract_z
Os1 Os 0.0000 0.0000 0.0000
Os2 Os 0.5000 0.5000 0.0000
Sc1 Sc 0.5000 0.0000 0.5000
Tl1 Tl 0.0000 0.5000 0.5000
# E_form ... 485 meV per atom
# SG ... No. 47
# Final energy ... -0.5369 Ry per atom
# DOS(E_F) ... 1.067 states/eV per atom

# 3
# Dy2Ho3Sc2, relaxed, DFT PBE
data_Dy2Ho3Sc2
_cell_length_a 3.4589
_cell_length_b 8.4449
_cell_length_c 7.7194
_cell_angle_alpha 111.22
_cell_angle_beta 102.95
_cell_angle_gamma 90.00
_space_group_name_H-M_alt 'P 1'
_space_group_IT_number 1
loop_
_space_group_symop_operation_xyz
'x,y,z'
loop_
_atom_site_label
_atom_site_type_symbol
_atom_site_fract_x
_atom_site_fract_y
_atom_site_fract_z
Dy1 Dy 0.5696 0.7086 0.1392
Dy2 Dy 0.4304 0.2914 0.8608
Ho1 Ho 0.7141 0.1484 0.4283
Ho2 Ho 0.2859 0.8516 0.5717
Ho3 Ho 0.0000 0.0000 0.0000
Sc1 Sc 0.1465 0.4319 0.2930
Sc2 Sc 0.8535 0.5681 0.7070
# E_form ... 45 meV per atom
# SG ... No. 12
# Final energy ... -0.3705 Ry per atom
# DOS(E_F) ... 1.485 states/eV per atom

# 4
# LiCuMo2, relaxed, DFT PBE
data_LiCuMo2
_cell_length_a 9.7052
_cell_length_b 9.7052
_cell_length_c 9.7052
_cell_angle_alpha 15.89
_cell_angle_beta 15.89
_cell_angle_gamma 15.89
_space_group_name_H-M_alt 'P 1'
_space_group_IT_number 1
loop_
_space_group_symop_operation_xyz
'x,y,z'
loop_
_atom_site_label
_atom_site_type_symbol
_atom_site_fract_x
_atom_site_fract_y
_atom_site_fract_z
Mo1 Mo 0.9958 0.9958 0.9958
Mo2 Mo 0.5042 0.5042 0.5042
Li1 Li 0.7500 0.7500 0.7500
Cu1 Cu 0.2500 0.2500 0.2500
# E_form ... 418 meV per atom
# SG ... No. 166
# Final energy ... -0.4778 Ry per atom
# DOS(E_F) ... 0.963 states/eV per atom

# 5
# SmBAs2O8, relaxed, DFT PBE
data_SmBAs2O8
_cell_length_a 5.1695
_cell_length_b 5.1695
_cell_length_c 6.3186
_cell_angle_alpha 90.00
_cell_angle_beta 90.00
_cell_angle_gamma 120.00
_space_group_name_H-M_alt 'P 1'
_space_group_IT_number 1
loop_
_space_group_symop_operation_xyz
'x,y,z'
loop_
_atom_site_label
_atom_site_type_symbol
_atom_site_fract_x
_atom_site_fract_y
_atom_site_fract_z
O1 O 0.1475 0.8524 0.8296
O2 O 0.7049 0.8524 0.8296
O3 O 0.6667 0.3333 0.5048
O4 O 0.3333 0.6667 0.4952
O5 O 0.1475 0.2951 0.8296
O6 O 0.8524 0.7049 0.1704
O7 O 0.8524 0.1476 0.1704
O8 O 0.2951 0.1476 0.1704
As1 As 0.3333 0.6667 0.7645
As2 As 0.6667 0.3333 0.2355
B1 B 0.0000 0.0000 0.0000
Sm1 Sm 0.0000 0.0000 0.5000
# SG ... No. 164
# Final energy ... -0.4832 Ry per atom
# E_form (uncorrected) ... -1.54 eV/atom
# DOS(E_F) ... 0.000 states/eV per atom

# 6
# Al2PtS, relaxed, DFT PBE
data_Al2PtS
_cell_length_a 6.0456
_cell_length_b 6.0456
_cell_length_c 6.1060
_cell_angle_alpha 60.33
_cell_angle_beta 60.33
_cell_angle_gamma 90.00
_space_group_name_H-M_alt 'P 1'
_space_group_IT_number 1
loop_
_space_group_symop_operation_xyz
'x,y,z'
loop_
_atom_site_label
_atom_site_type_symbol
_atom_site_fract_x
_atom_site_fract_y
_atom_site_fract_z
S1 S 0.5000 0.5000 0.0000
S2 S 0.2500 0.7500 0.5000
Al1 Al 0.3750 0.3804 0.7500
Al2 Al 0.1304 0.6250 0.2500
Al3 Al 0.8750 0.8696 0.7500
Al4 Al 0.6196 0.1250 0.2500
Pt1 Pt 0.7500 0.2500 0.5000
Pt2 Pt 0.0000 0.0000 0.0000
# SG ... No. 122
# Final energy ... -0.3675 Ry per atom
# E_form (uncorrected) ... -0.59 eV/atom
# DOS(E_F) ... 0.006 states/eV per atom

# 7
# ScTaP2S, relaxed, DFT PBE
data_ScTaP2S
_cell_length_a 4.8283
_cell_length_b 4.8283
_cell_length_c 4.6758
_cell_angle_alpha 90.00
_cell_angle_beta 90.00
_cell_angle_gamma 90.00
_space_group_name_H-M_alt 'P 1'
_space_group_IT_number 1
loop_
_space_group_symop_operation_xyz
'x,y,z'
loop_
_atom_site_label
_atom_site_type_symbol
_atom_site_fract_x
_atom_site_fract_y
_atom_site_fract_z
Sc1 Sc 0.5000 0.5000 0.5000
P1 P 0.0000 0.5000 0.0000
P2 P 0.5000 0.0000 0.0000
S1 S 0.0000 0.0000 0.5000
Ta1 Ta 0.0000 0.0000 0.0000
# SG ... No. 123
# Final energy ... -0.5025 Ry per atom
# E_form (uncorrected) ... -0.21 eV/atom
# DOS(E_F) ... 0.491 states/eV per atom

# 8
# Cd2RuF8, relaxed, DFT PBE
data_Cd2RuF8
_cell_length_a 4.5419
_cell_length_b 6.1799
_cell_length_c 6.1799
_cell_angle_alpha 72.82
_cell_angle_beta 88.78
_cell_angle_gamma 88.78
_space_group_name_H-M_alt 'P 1'
_space_group_IT_number 1
loop_
_space_group_symop_operation_xyz
'x,y,z'
loop_
_atom_site_label
_atom_site_type_symbol
_atom_site_fract_x
_atom_site_fract_y
_atom_site_fract_z
F1 F 0.8022 0.7090 0.0872
F2 F 0.8022 0.0872 0.7090
F3 F 0.1978 0.2910 0.9128
F4 F 0.7368 0.5960 0.5960
F5 F 0.7059 0.1475 0.1475
F6 F 0.2632 0.4040 0.4040
F7 F 0.1978 0.9128 0.2910
F8 F 0.2941 0.8525 0.8525
Cd1 Cd 0.2352 0.6321 0.6321
Cd2 Cd 0.7648 0.3679 0.3679
Ru1 Ru 0.0000 0.0000 0.0000
# SG ... No. 12
# Final energy ... -0.3167 Ry per atom
# E_form (uncorrected) ... -1.94 eV/atom
# DOS(E_F) ... 0.729 states/eV per atom

# 9
# PmSi2H8, relaxed, DFT PBE
data_PmSi2H8
_cell_length_a 4.1533
_cell_length_b 5.5349
_cell_length_c 5.5349
_cell_angle_alpha 85.87
_cell_angle_beta 84.37
_cell_angle_gamma 84.37
_space_group_name_H-M_alt 'P 1'
_space_group_IT_number 1
loop_
_space_group_symop_operation_xyz
'x,y,z'
loop_
_atom_site_label
_atom_site_type_symbol
_atom_site_fract_x
_atom_site_fract_y
_atom_site_fract_z
H1 H 0.2636 0.4401 0.4401
H2 H 0.7499 0.2631 0.2631
H3 H 0.7500 0.6294 0.9912
H4 H 0.7364 0.5599 0.5599
H5 H 0.2501 0.7369 0.7369
H6 H 0.2500 0.0088 0.3706
H7 H 0.7500 0.9912 0.6294
H8 H 0.2500 0.3706 0.0088
Si1 Si 0.3761 0.2577 0.2577
Si2 Si 0.6239 0.7423 0.7423
Pm1 Pm 0.0000 0.0000 0.0000
# SG ... No. 12
# Final energy ... -0.2726 Ry per atom
# DOS(E_F) ... 0.148 states/eV per atom

# 10
# DyPaRh, relaxed, DFT PBE
data_DyPaRh
_cell_length_a 5.3999
_cell_length_b 5.4006
_cell_length_c 11.5397
_cell_angle_alpha 90.00
_cell_angle_beta 90.00
_cell_angle_gamma 90.00
_space_group_name_H-M_alt 'P 1'
_space_group_IT_number 1
loop_
_space_group_symop_operation_xyz
'x,y,z'
loop_
_atom_site_label
_atom_site_type_symbol
_atom_site_fract_x
_atom_site_fract_y
_atom_site_fract_z
Pa1 Pa 0.2498 0.2816 0.0000
Pa2 Pa 0.2501 0.2830 0.5000
Pa3 Pa 0.7499 0.7830 0.5000
Pa4 Pa 0.7502 0.7816 0.0000
Dy1 Dy 0.7500 0.2817 0.7500
Dy2 Dy 0.7500 0.2817 0.2500
Dy3 Dy 0.2500 0.7817 0.2500
Dy4 Dy 0.2500 0.7817 0.7500
Rh1 Rh 0.7501 0.2831 0.5000
Rh2 Rh 0.2499 0.7831 0.5000
Rh3 Rh 0.2502 0.7816 0.0000
Rh4 Rh 0.7498 0.2816 0.0000
# E_form ... -352 meV per atom
# SG ... No. 63
# Final energy ... -0.5514 Ry per atom
# DOS(E_F) ... 1.663 states/eV per atom

# 11
# Ce4In12Ru, relaxed, DFT PBE
data_Ce4In12Ru
_cell_length_a 8.2206
_cell_length_b 8.2206
_cell_length_c 8.2206
_cell_angle_alpha 109.47
_cell_angle_beta 109.47
_cell_angle_gamma 109.47
_space_group_name_H-M_alt 'P 1'
_space_group_IT_number 1
loop_
_space_group_symop_operation_xyz
'x,y,z'
loop_
_atom_site_label
_atom_site_type_symbol
_atom_site_fract_x
_atom_site_fract_y
_atom_site_fract_z
In1 In 0.7192 0.7192 0.0000
In2 In 0.0000 0.7192 0.7192
In3 In 0.7500 0.5000 0.2500
In4 In 0.0000 0.2808 0.2808
In5 In 0.2500 0.7500 0.5000
In6 In 0.2808 0.2808 0.0000
In7 In 0.2500 0.5000 0.7500
In8 In 0.2808 0.0000 0.2808
In9 In 0.7500 0.2500 0.5000
In10 In 0.7192 0.0000 0.7192
In11 In 0.5000 0.2500 0.7500
In12 In 0.5000 0.7500 0.2500
Ru1 Ru 0.0000 0.0000 0.0000
Ce1 Ce 0.0000 0.0000 0.5000
Ce2 Ce 0.0000 0.5000 0.0000
Ce3 Ce 0.5000 0.0000 0.0000
Ce4 Ce 0.5000 0.5000 0.5000
# E_form ... -364 meV per atom
# SG ... No. 229
# Final energy ... -0.3116 Ry per atom
# DOS(E_F) ... 1.554 states/eV per atom